# PrTmMg5, optimized geometry, DFT GGA-PBE
# Calculated formation energy ... 0.1022 eV/atom
# Total magnetic moment ... 0.00 μB per formula unit
data_PrTmMg5
_cell_length_a 6.279
_cell_length_b 9.722
_cell_length_c 6.792
_cell_angle_alpha 90.00
_cell_angle_beta 110.26
_cell_angle_gamma 90.00
_symmetry_space_group_name_H-M 'C 1 2/m 1'
_symmetry_Int_Tables_number 12
loop_
_symmetry_equiv_pos_as_xyz
'x,y,z'
'-x,-y,-z'
'-x,y,-z'
'x,-y,z'
'x+1/2,y+1/2,z'
'-x+1/2,-y+1/2,-z'
'-x+1/2,y+1/2,-z'
'x+1/2,-y+1/2,z'
loop_
_atom_site_label
_atom_site_type_symbol
_atom_site_fract_x
_atom_site_fract_y
_atom_site_fract_z
Pr1 Pr 0.000 0.000 0.000
Tm1 Tm 0.000 0.500 0.500
Mg1 Mg 0.000 0.000 0.500
Mg2 Mg 0.200 0.289 0.232

=====

# SmFeH3, optimized geometry, DFT GGA-PBE
# Total magnetic moment ... 1.06 μB per formula unit
data_SmFeH3
_cell_length_a 3.571
_cell_length_b 3.571
_cell_length_c 3.571
_cell_angle_alpha 90.00
_cell_angle_beta 90.00
_cell_angle_gamma 90.00
_symmetry_space_group_name_H-M 'P m -3 m'
_symmetry_Int_Tables_number 221
_symmetry_space_group_name_Hall '-P 4 2 3'
loop_
_atom_site_label
_atom_site_type_symbol
_atom_site_fract_x
_atom_site_fract_y
_atom_site_fract_z
Sm1 Sm 0.000 0.000 0.000
Fe1 Fe 0.500 0.500 0.500
H1 H 0.000 0.500 0.500

=====

# Pd3RuCl9, optimized geometry, DFT GGA-PBE
# Total magnetic moment ... 1.11 μB per formula unit
# E_form (uncorrected) ... -382 meV per atom
data_Pd3RuCl9
_cell_length_a 18.749
_cell_length_b 6.710
_cell_length_c 13.520
_cell_angle_alpha 90.00
_cell_angle_beta 128.02
_cell_angle_gamma 90.00
_symmetry_space_group_name_H-M 'C 1 c 1'
_symmetry_Int_Tables_number 9
loop_
_symmetry_equiv_pos_as_xyz
'x,y,z'
'x,-y,z+1/2'
'x+1/2,y+1/2,z'
'x+1/2,-y+1/2,z+1/2'
loop_
_atom_site_label
_atom_site_type_symbol
_atom_site_fract_x
_atom_site_fract_y
_atom_site_fract_z
Pd1 Pd 0.000 0.035 0.000
Pd2 Pd 0.144 0.410 0.981
Pd3 Pd 0.376 0.176 0.474
Ru1 Ru 0.227 0.301 0.743
Cl1 Cl 0.061 0.115 0.898
Cl2 Cl 0.098 0.495 0.102
Cl3 Cl 0.143 0.013 0.690
Cl4 Cl 0.225 0.289 0.564
Cl5 Cl 0.235 0.351 0.919
Cl6 Cl 0.337 0.410 0.309
Cl7 Cl 0.356 0.099 0.853
Cl8 Cl 0.422 0.025 0.139
Cl9 Cl 0.437 0.454 0.603

=====

# TlPRuS2, optimized geometry, DFT GGA-PBE
# Excess energy over the best structure of this formula in the dataset ... 0.0 kJ per mole of atoms
# Total magnetic moment ... 0.41 μB per formula unit
# E_form (uncorrected) ... 266 meV per atom
data_TlPRuS2
_cell_length_a 4.890
_cell_length_b 4.890
_cell_length_c 4.450
_cell_angle_alpha 90.00
_cell_angle_beta 90.00
_cell_angle_gamma 90.00
_symmetry_space_group_name_H-M 'P 4/m m m'
_symmetry_Int_Tables_number 123
_symmetry_space_group_name_Hall '-P 4 2'
loop_
_atom_site_label
_atom_site_type_symbol
_atom_site_fract_x
_atom_site_fract_y
_atom_site_fract_z
Tl1 Tl 0.000 0.000 0.000
P1 P 0.500 0.500 0.000
Ru1 Ru 0.500 0.500 0.500
S1 S 0.000 0.500 0.500

=====

# TbSm2ErAs4, optimized geometry, DFT GGA-PBE
# Calculated formation energy ... -1.5265 eV/atom
# Total magnetic moment ... 0.00 μB per formula unit
data_TbSm2ErAs4
_cell_length_a 7.208
_cell_length_b 4.165
_cell_length_c 7.210
_cell_angle_alpha 90.00
_cell_angle_beta 109.47
_cell_angle_gamma 90.00
_symmetry_space_group_name_H-M 'P 1 2/m 1'
_symmetry_Int_Tables_number 10
loop_
_symmetry_equiv_pos_as_xyz
'x,y,z'
'-x,-y,-z'
'-x,y,-z'
'x,-y,z'
loop_
_atom_site_label
_atom_site_type_symbol
_atom_site_fract_x
_atom_site_fract_y
_atom_site_fract_z
Tb1 Tb 0.000 0.000 0.000
Sm1 Sm 0.500 0.000 0.500
Sm2 Sm 0.500 0.500 0.000
Er1 Er 0.000 0.500 0.500
As1 As 0.243 0.000 0.746
As2 As 0.244 0.500 0.250

=====

# MoHOs2Ru, optimized geometry, DFT GGA-PBE
# Excess energy over the best structure of this formula in the dataset ... 0.0 kJ per mole of atoms
# Total magnetic moment ... 0.00 μB per formula unit
data_MoHOs2Ru
_cell_length_a 3.924
_cell_length_b 3.924
_cell_length_c 3.919
_cell_angle_alpha 90.00
_cell_angle_beta 90.00
_cell_angle_gamma 90.00
_symmetry_space_group_name_H-M 'P 4/m m m'
_symmetry_Int_Tables_number 123
_symmetry_space_group_name_Hall '-P 4 2'
loop_
_atom_site_label
_atom_site_type_symbol
_atom_site_fract_x
_atom_site_fract_y
_atom_site_fract_z
Mo1 Mo 0.000 0.000 0.000
H1 H 0.500 0.500 0.500
Os1 Os 0.000 0.500 0.500
Ru1 Ru 0.500 0.500 0.000

=====

no.,DFT total energy (eV for the cell shown)
1,-33.02
2,-24.99
3,-185.76
4,-23.98
5,-49.44
6,-45.55